# Dy2Y6Th3Sc

A relaxed Dy2Y6Th3Sc crystal (PBE-GGA, Alexandria via LeMat-Bulk).

**Energy relative to the elements**: 0.46 eV per formula unit
**E**: -6.3429 eV/atom
**SG**: No. 12
**N(E_F)**: 19.7 states/eV per cell
**Total magnetization**: 0.00 μB/f.u.
**Theoretical density**: 7022 kg/m3

Lattice parameters (Å, degrees): 6.159 6.159 11.697 95.08 95.08 120.00
Positions (direct):
Dy (0.334, 0.666, 0.000)
Dy (0.666, 0.334, 0.000)
Y (0.917, 0.586, 0.749)
Y (0.752, 0.752, 0.251)
Y (0.083, 0.414, 0.251)
Y (0.586, 0.917, 0.749)
Y (0.248, 0.248, 0.749)
Y (0.414, 0.083, 0.251)
Th (0.167, 0.833, 0.500)
Th (0.833, 0.167, 0.500)
Th (0.500, 0.500, 0.500)
Sc (0.000, 0.000, 0.000)